# GGA-PBE U2NiRu, optimized geometry
# - Total energy: -37.60 eV per cell
# - Crystal system: tetragonal
# - D(E_F): 8.48 states/eV/cell
# - Energy relative to the elements: 0.007 eV/atom
data_U2NiRu
_cell_length_a 3.420
_cell_length_b 3.420
_cell_length_c 6.295
_cell_angle_alpha 90.00
_cell_angle_beta 90.00
_cell_angle_gamma 90.00
_symmetry_space_group_name_H-M 'P 4/m m m'
_symmetry_Int_Tables_number 123
_symmetry_space_group_name_Hall '-P 4 2'
loop_
_atom_site_label
_atom_site_fract_x
_atom_site_fract_y
_atom_site_fract_z
_atom_site_occupancy
U1 0.000 0.000 0.239 1
Ni1 0.500 0.500 0.000 1
Ru1 0.500 0.500 0.500 1